Ca4Np3TiN8 | GGA-PBE | optimized geometry

a b c (Å): 6.798 6.882 6.799
angles (deg): 119.62 120.00 90.00
Last column: magnetic moment on the atom in μB.
Atoms (fractional coordinates):
Np  0.500  0.500  0.500  2.83
N  0.767  0.290  0.023  -0.11
N  0.260  0.280  0.520  -0.12
N  0.767  0.290  0.533  -0.11
N  0.256  0.290  0.023  -0.11
Ti  0.000  0.500  0.000  0.50
Np  0.000  0.500  0.500  2.83
Ca  0.500  0.000  0.500  0.04
N  0.740  0.720  0.480  -0.12
N  0.744  0.710  0.977  -0.11
Ca  0.000  0.000  0.000  0.04
N  0.233  0.710  0.467  -0.11
Ca  0.000  0.000  0.500  0.04
Np  0.500  0.500  0.000  2.83
N  0.233  0.710  0.977  -0.11
Ca  0.500  0.000  0.000  0.07

uncorrected formation energy	-1.190	eV/atom
space group	R-3m, No. 166